[1]
LiCdRu | Alexandria via LeMat-Bulk | GGA-PBEsol | optimized geometry; ΔE_f = 23.7 kJ per mole of atoms; space group = P3m1 (156); energy = -4.20 eV/atom
1.0
2.5774 0.0000 0.0000
0.0000 4.5034 0.0000
0.0000 -2.2517 3.9000
Li Ru Cd
1 1 1
Direct
0.6907 0.6667 0.3333
0.3728 0.3333 0.6667
0.9365 0.0000 0.0000

[2]
LiCd2Ru | Alexandria via LeMat-Bulk | GGA-PBEsol | optimized geometry; ΔE_f = 14.7 kJ per mole of atoms; space group = R-3m (166); energy = -3.48 eV/atom
1.0
-0.1135 -1.6431 -2.3531
1.7008 -2.3034 -0.2265
-6.0721 -6.5829 3.1366
Li Cd Ru
1 2 1
Direct
0.5000 0.5000 0.5000
0.7487 0.7487 0.7540
0.2513 0.2513 0.2460
0.0000 0.0000 0.0000

[3]
LiCd2Ru | Alexandria via LeMat-Bulk | GGA-PBEsol | optimized geometry; ΔE_f = 15.2 kJ per mole of atoms; space group = Imm2 (44); energy = -3.48 eV/atom
1.0
3.0999 0.0000 0.0000
0.0000 4.5427 0.0000
-1.5500 -2.2714 4.5986
Ru Cd Li
1 2 1
Direct
0.2436 0.7436 0.4872
0.9940 0.9940 0.9879
0.7565 0.2565 0.5130
0.5059 0.5059 0.0119

[4]
Li2CdRu | Alexandria via LeMat-Bulk | GGA-PBEsol | optimized geometry; ΔE_f = 16.8 kJ per mole of atoms; space group = Pmm2 (25); energy = -3.65 eV/atom
1.0
2.5857 0.0000 0.0000
0.0000 4.3300 0.0000
0.0000 0.0000 5.4561
Cd Li Ru
1 2 1
Direct
0.5000 0.5000 0.7387
0.5000 0.5000 0.2630
0.0000 0.0000 0.0029
0.0000 0.0000 0.4954

[5]
Li2CdRu | Alexandria via LeMat-Bulk | GGA-PBEsol | optimized geometry; ΔE_f = 25.6 kJ per mole of atoms; space group = F-43m (216); energy = -3.56 eV/atom
1.0
4.4093 0.0000 0.0000
2.2047 3.8186 0.0000
2.2047 1.2729 3.6002
Li Cd Ru
2 1 1
Direct
0.0000 0.0000 0.0000
0.7500 0.7500 0.7500
0.5000 0.5000 0.5000
0.2500 0.2500 0.2500

[6]
Li2CdRu | Alexandria via LeMat-Bulk | GGA-PBEsol | optimized geometry; ΔE_f = 49.9 kJ per mole of atoms; space group = I-42d (122); energy = -3.31 eV/atom
1.0
5.3154 0.0000 0.0000
2.6577 4.8200 0.0000
2.6577 0.0000 4.8200
Li Cd Ru
4 2 2
Direct
0.1340 0.4910 0.9910
0.3750 0.0090 0.4910
0.6160 0.5090 0.0090
0.8750 0.9910 0.5090
0.0000 0.0000 0.0000
0.7500 0.5000 0.5000
0.2500 0.5000 0.5000
0.5000 0.0000 0.0000

[7]
Li2CdRu | Alexandria via LeMat-Bulk | GGA-PBEsol | optimized geometry; ΔE_f = 15.5 kJ per mole of atoms; space group = Immm (71); energy = -3.67 eV/atom
1.0
2.8075 0.0000 0.0000
0.0000 4.7024 0.0000
-1.4037 -2.3512 4.5986
Li Ru Cd
2 1 1
Direct
0.2424 0.2424 0.4849
0.7576 0.7576 0.5151
0.5000 0.0000 0.0000
0.0000 0.5000 0.0000

[8]
LiCdRu2W | Alexandria via LeMat-Bulk | GGA-PBEsol | optimized geometry; ΔE_f = 112.1 kJ per mole of atoms; space group = P4/mmm (123); energy = -6.30 eV/atom
1.0
-1.8498 -3.4095 -1.0708
2.7242 -2.2028 2.3077
-2.5414 0.3359 3.3208
Ru Cd W Li
2 1 1 1
Direct
0.0000 0.0000 0.5000
0.0000 0.5000 0.0000
0.5000 0.0000 0.0000
0.5000 0.5000 0.5000
0.0000 0.0000 0.0000

[9]
LiCd3S | Alexandria via LeMat-Bulk | GGA-PBEsol | optimized geometry; E_form (uncorrected) = 323 meV per atom; space group = Pm-3m (221); energy = -1.66 eV/atom
1.0
-2.8360 4.0920 -1.3794
-0.4430 -1.9173 -4.7768
-4.2955 -2.5040 1.4034
Cd S Li
3 1 1
Direct
0.0000 0.0000 0.5000
0.0000 0.5000 0.0000
0.5000 0.0000 0.0000
0.0000 0.0000 0.0000
0.5000 0.5000 0.5000

[10]
LiScCd2 | Alexandria via LeMat-Bulk | GGA-PBEsol | optimized geometry; ΔE_f = -25.1 kJ per mole of atoms; space group = Cmmm (65); energy = -3.00 eV/atom
1.0
-1.5340 -0.3282 -2.8689
-4.1407 -1.3489 2.3683
-1.4158 4.7459 0.2140
Sc Cd Li
1 2 1
Direct
0.5000 0.5000 0.5000
0.0000 0.5000 0.0000
0.0000 0.0000 0.5000
0.5000 0.0000 0.0000

[11]
LiSc4Cd | Alexandria via LeMat-Bulk | GGA-PBEsol | optimized geometry; ΔE_f = 27.6 kJ per mole of atoms; space group = F-43m (216); energy = -4.64 eV/atom
1.0
5.8344 0.0000 0.0000
2.9172 5.0527 0.0000
2.9172 1.6842 4.7638
Li Sc Cd
1 4 1
Direct
0.0000 0.0000 0.0000
0.3760 0.8720 0.3760
0.3760 0.3760 0.8720
0.8720 0.3760 0.3760
0.3760 0.3760 0.3760
0.7500 0.7500 0.7500

[12]
LiSc2Cd | Alexandria via LeMat-Bulk | GGA-PBEsol | optimized geometry; ΔE_f = -9.2 kJ per mole of atoms; space group = P4mm (99); energy = -4.19 eV/atom
1.0
-2.3730 -0.0247 2.5396
-0.3271 -3.4437 -0.3391
4.9578 -0.9263 4.6236
Li Sc Cd
1 2 1
Direct
0.5000 0.5000 0.7256
0.5000 0.5000 0.2680
0.0000 0.0000 0.9855
0.0000 0.0000 0.5210

[13]
Li4ScCd | Alexandria via LeMat-Bulk | GGA-PBEsol | optimized geometry; ΔE_f = -1.9 kJ per mole of atoms; space group = F-43m (216); energy = -2.63 eV/atom
1.0
5.2951 0.0000 0.0000
2.6476 4.5857 0.0000
2.6476 1.5286 4.3235
Li Cd Sc
4 1 1
Direct
0.3738 0.3738 0.3738
0.3738 0.3738 0.8785
0.8785 0.3738 0.3738
0.3738 0.8785 0.3738
0.0000 0.0000 0.0000
0.7500 0.7500 0.7500

[14]
LiSc3Cd | Alexandria via LeMat-Bulk | GGA-PBEsol | optimized geometry; ΔE_f = 50.5 kJ per mole of atoms; space group = Pm-3m (221); energy = -4.07 eV/atom
1.0
4.8745 0.0000 0.0000
0.0000 4.8745 0.0000
0.0000 0.0000 4.8745
Cd Sc Li
1 3 1
Direct
0.5000 0.5000 0.5000
0.0000 0.0000 0.5000
0.0000 0.5000 0.0000
0.5000 0.0000 0.0000
0.0000 0.0000 0.0000

[15]
LiScCd | Alexandria via LeMat-Bulk | GGA-PBEsol | optimized geometry; ΔE_f = -13.1 kJ per mole of atoms; space group = P3m1 (156); energy = -3.39 eV/atom
1.0
2.9629 0.0000 0.0000
0.0000 4.7838 0.0000
0.0000 -2.3919 4.1429
Cd Sc Li
1 1 1
Direct
0.8348 0.0000 0.0000
0.3339 0.6667 0.3333
0.8313 0.3333 0.6667

[16]
LiSc2Cd | Alexandria via LeMat-Bulk | GGA-PBEsol | optimized geometry; ΔE_f = -9.8 kJ per mole of atoms; space group = P4/mmm (123); energy = -4.20 eV/atom
1.0
3.5341 0.0000 0.0000
0.0000 4.8429 0.0000
0.0000 0.0000 4.8429
Li Cd Sc
1 1 2
Direct
0.5000 0.0000 0.0000
0.5000 0.5000 0.5000
0.0000 0.5000 0.0000
0.0000 0.0000 0.5000

[17]
LiZr2ScCd | Alexandria via LeMat-Bulk | GGA-PBEsol | optimized geometry; ΔE_f = 97.0 kJ per mole of atoms; space group = P4/mmm (123); energy = -4.58 eV/atom
1.0
-1.0832 3.3923 -3.8331
-4.6874 1.0016 2.2110
2.1673 3.8918 2.8318
Cd Li Zr Sc
1 1 2 1
Direct
0.0000 0.0000 0.0000
0.5000 0.5000 0.5000
0.0000 0.0000 0.5000
0.0000 0.5000 0.0000
0.5000 0.0000 0.0000

[18]
LiCdSe3 | Alexandria via LeMat-Bulk | GGA-PBEsol | optimized geometry; E_form (uncorrected) = 164 meV per atom; space group = Pm-3m (221); energy = -2.78 eV/atom
1.0
-3.8031 1.0138 -3.3846
-3.4912 -1.8425 3.3710
-0.5430 4.7460 2.0317
Cd Se Li
1 3 1
Direct
0.0000 0.0000 0.0000
0.0000 0.0000 0.5000
0.5000 0.0000 0.0000
0.0000 0.5000 0.0000
0.5000 0.5000 0.5000

[19]
Li3CdSe | Alexandria via LeMat-Bulk | GGA-PBEsol | optimized geometry; E_form (uncorrected) = -544 meV per atom; space group = Pm-3m (221); energy = -2.73 eV/atom
1.0
4.7994 0.0000 0.0000
0.0000 4.7994 0.0000
0.0000 0.0000 4.7994
Li Cd Se
3 1 1
Direct
0.5000 0.0000 0.0000
0.0000 0.5000 0.0000
0.0000 0.0000 0.5000
0.5000 0.5000 0.5000
0.0000 0.0000 0.0000

[20]
LiCdSi2 | Alexandria via LeMat-Bulk | GGA-PBEsol | optimized geometry; E_form (uncorrected) = 139 meV per atom; space group = Cmmm (65); energy = -3.53 eV/atom
1.0
2.8260 0.0000 0.0000
0.0000 5.0697 0.0534
0.0000 -2.2123 4.5618
Si Cd Li
2 1 1
Direct
0.0000 0.5000 0.0000
0.0000 0.0000 0.5000
0.5000 0.5000 0.5000
0.5000 0.0000 0.0000